1.
A geometry-optimized BaSmPd2 structure. Source: Alexandria, functional PBE.

Geometry as extended XYZ:
```
4
Lattice="-4.482 2.774 0.095 -3.836 -1.071 -3.453 -4.468 -2.265 1.643" Properties=species:S:1:pos:R:3 pbc="T T T"
Pd -9.589 -0.422 -1.287
Pd -3.196 -0.141 -0.429
Sm 0.000 0.000 0.000
Ba -6.393 -0.281 -0.858
```

Results
excess energy over the best structure of this formula in the dataset: 158 meV/atom
DFT formation energy: -2.03 eV per formula unit
uncorrected energy: -0.1751 Ha/atom
calculated density: 8.0 g cm⁻³
SG: Fm-3m (225)
total magnetization: 0.00 μB/f.u.



2.
A geometry-optimized Ba3Sn4Pd2 structure. Source: Alexandria, functional PBE.

Geometry as extended XYZ:
```
9
Lattice="4.621 0.000 0.000 -2.311 6.522 -0.963 0.000 -0.038 9.787" Properties=species:S:1:pos:R:3 pbc="T T T"
Ba 2.311 2.218 6.077
Ba 0.000 4.266 2.746
Ba 0.000 0.000 0.000
Sn 0.000 0.588 3.570
Sn 0.000 3.499 8.481
Sn 2.311 2.985 0.343
Sn 2.311 5.896 5.253
Pd 2.311 1.381 2.498
Pd 0.000 5.102 6.326
```

Results
excess energy over the best structure of this formula in the dataset: 0 meV/atom
DFT formation energy: -5.99 eV per formula unit
uncorrected energy: -0.1558 Ha/atom
calculated density: 6.2 g cm⁻³
SG: C2/m (12)
total magnetization: 0.00 μB/f.u.



3.
A geometry-optimized Ba6SnPd2 structure. Source: Alexandria, functional PBE.

Geometry as extended XYZ:
```
9
Lattice="-1.751 -5.348 1.370 4.804 -5.661 -3.718 4.422 -2.661 7.511" Properties=species:S:1:pos:R:3 pbc="T T T"
Ba 6.047 -10.213 4.589
Ba 4.123 -4.874 -1.515
Ba 2.281 -6.069 3.710
Ba 5.194 -7.601 1.452
Ba 3.352 -8.795 6.678
Ba 1.428 -3.457 0.574
Sn 4.613 -4.161 1.897
Pd 2.075 -6.839 0.439
Pd 5.400 -6.831 4.724
```

Results
DFT formation energy: -3.43 eV per formula unit
uncorrected energy: -0.1198 Ha/atom
calculated density: 4.9 g cm⁻³
SG: Fmmm (69)
total magnetization: 0.00 μB/f.u.



4.
A geometry-optimized Ba2SnPd structure. Source: Alexandria, functional PBE.

Geometry as extended XYZ:
```
4
Lattice="4.371 0.000 0.000 2.185 3.785 0.000 2.185 1.262 10.816" Properties=species:S:1:pos:R:3 pbc="T T T"
Ba 6.556 3.785 3.534
Ba 2.185 1.262 7.282
Sn 0.000 0.000 0.000
Pd 4.371 2.523 5.408
```

Results
DFT formation energy: -0.38 eV per formula unit
uncorrected energy: -0.1233 Ha/atom
calculated density: 4.6 g cm⁻³
SG: R-3m (166)
total magnetization: 0.00 μB/f.u.



5.
A geometry-optimized Ba3Sn5Pd6 structure. Source: Alexandria, functional PBE.

Geometry as extended XYZ:
```
28
Lattice="4.440 0.000 0.000 0.000 11.817 0.000 0.000 0.000 13.700" Properties=species:S:1:pos:R:3 pbc="T T T"
Sn 0.000 10.675 0.000
Sn 0.000 10.206 4.468
Sn 2.220 5.865 8.741
Sn 2.220 1.141 6.850
Sn 2.220 1.610 11.318
Sn 0.000 5.952 1.891
Sn 0.000 5.952 11.810
Sn 0.000 10.206 9.232
Sn 2.220 1.610 2.382
Sn 2.220 5.865 4.960
Ba 2.220 8.758 6.850
Ba 0.000 3.061 4.769
Ba 0.000 3.059 0.000
Ba 2.220 8.756 11.619
Ba 2.220 8.756 2.081
Ba 0.000 3.061 8.931
Pd 0.000 0.096 2.374
Pd 0.000 0.096 11.326
Pd 2.220 5.778 0.000
Pd 0.000 7.398 4.280
Pd 2.220 4.419 2.570
Pd 2.220 11.721 4.476
Pd 2.220 4.419 11.130
Pd 0.000 7.398 9.421
Pd 2.220 11.721 9.224
Pd 0.000 11.511 6.850
Pd 0.000 6.039 6.850
Pd 2.220 0.305 0.000
```

Results
DFT formation energy: -8.96 eV per formula unit
uncorrected energy: -0.1730 Ha/atom
calculated density: 7.6 g cm⁻³
SG: Pmmn (59)
total magnetization: 0.00 μB/f.u.



6.
A geometry-optimized Ba2SnPd5 structure. Source: Alexandria, functional PBE.

Geometry as extended XYZ:
```
8
Lattice="-3.601 2.166 5.194 -2.000 -5.068 -3.866 5.675 -3.438 0.776" Properties=species:S:1:pos:R:3 pbc="T T T"
Pd -1.057 -1.092 2.131
Pd 1.040 -5.038 0.049
Pd 1.051 -2.433 -0.884
Pd 3.429 -3.801 -0.517
Pd 0.155 -4.496 -2.497
Ba 1.911 -2.659 2.250
Ba -1.927 -3.473 -0.071
Sn 0.036 -0.084 -0.031
```

Results
DFT formation energy: -4.02 eV per formula unit
uncorrected energy: -0.1738 Ha/atom
calculated density: 7.6 g cm⁻³
SG: I4mm (107)
total magnetization: 0.00 μB/f.u.



7.
A geometry-optimized Ba2SnPd structure. Source: Alexandria, functional PBE.

Geometry as extended XYZ:
```
8
Lattice="-7.734 4.738 0.799 -4.669 -7.053 -3.370 -6.630 -2.393 1.895" Properties=species:S:1:pos:R:3 pbc="T T T"
Pd -6.201 -1.158 -1.285
Pd -8.750 -5.302 -1.380
Sn 0.000 0.000 0.000
Sn -10.283 0.593 0.704
Ba -15.590 -3.466 -0.659
Ba -9.858 -3.018 0.288
Ba -6.686 1.243 0.512
Ba -5.931 -4.176 -1.492
```

Results
DFT formation energy: -1.08 eV per formula unit
uncorrected energy: -0.1297 Ha/atom
calculated density: 5.8 g cm⁻³
SG: I-42d (122)
total magnetization: 0.00 μB/f.u.



8.
A geometry-optimized Ba3Sn3Pd structure. Source: Alexandria, functional PBE.

Geometry as extended XYZ:
```
14
Lattice="4.922 0.000 0.741 2.413 6.296 0.691 0.110 0.259 15.979" Properties=species:S:1:pos:R:3 pbc="T T T"
Ba 3.983 4.148 6.975
Ba 1.902 1.603 4.086
Ba 4.699 4.492 2.226
Ba 5.544 4.952 13.326
Ba 3.462 2.407 10.436
Ba 2.746 2.063 15.186
Sn 4.736 0.833 1.977
Sn 1.374 1.185 7.587
Sn 0.660 1.193 12.325
Sn 6.071 5.370 9.825
Sn 6.785 5.362 5.086
Sn 2.709 5.722 15.435
Pd 4.008 0.492 6.811
Pd 3.437 6.063 10.601
```

Results
DFT formation energy: -4.67 eV per formula unit
uncorrected energy: -0.1451 Ha/atom
calculated density: 5.9 g cm⁻³
SG: C2/m (12)
total magnetization: 0.00 μB/f.u.



9.
A geometry-optimized Ba3SnPd structure. Source: Alexandria, functional PBE.

Geometry as extended XYZ:
```
5
Lattice="6.047 0.000 0.000 0.000 6.047 0.000 0.000 0.000 6.047" Properties=species:S:1:pos:R:3 pbc="T T T"
Pd 0.000 0.000 0.000
Ba 0.000 3.023 0.000
Ba 0.000 0.000 3.023
Ba 3.023 0.000 0.000
Sn 3.023 3.023 3.023
```

Results
excess energy over the best structure of this formula in the dataset: 0 meV/atom
DFT formation energy: -1.87 eV per formula unit
uncorrected energy: -0.1237 Ha/atom
calculated density: 4.8 g cm⁻³
SG: Pm-3m (221)
total magnetization: 0.00 μB/f.u.



10.
A geometry-optimized BaSn3Pd5 structure. Source: Alexandria, functional PBE.

Geometry as extended XYZ:
```
18
Lattice="4.237 0.000 0.000 -2.118 6.932 0.000 0.000 0.000 13.612" Properties=species:S:1:pos:R:3 pbc="T T T"
Sn 0.000 5.240 13.092
Sn 2.118 5.463 3.403
Sn 2.118 1.692 6.286
Sn 2.118 1.692 0.521
Sn 0.000 1.470 10.209
Sn 0.000 5.240 7.327
Pd 2.118 4.265 5.852
Pd 0.000 6.303 1.964
Pd 0.000 0.000 6.806
Pd 0.000 2.668 7.761
Pd 0.000 6.303 4.842
Pd 0.000 0.000 0.000
Pd 2.118 0.630 8.770
Pd 0.000 2.668 12.658
Pd 2.118 0.630 11.648
Pd 2.118 4.265 0.955
Ba 2.118 4.639 10.209
Ba 0.000 2.294 3.403
```

Results
DFT formation energy: -5.55 eV per formula unit
uncorrected energy: -0.1856 Ha/atom
calculated density: 8.5 g cm⁻³
SG: Cmcm (63)
total magnetization: 0.00 μB/f.u.



11.
A geometry-optimized Ba2Sn4Pd3 structure. Source: Alexandria, functional PBE.

Geometry as extended XYZ:
```
9
Lattice="6.417 -0.375 0.000 -3.314 5.507 0.000 -1.551 -2.566 6.947" Properties=species:S:1:pos:R:3 pbc="T T T"
Sn 3.151 -1.905 4.844
Sn -3.151 1.905 4.844
Sn -1.599 4.471 2.103
Sn 4.702 0.662 2.103
Ba 0.000 0.000 5.098
Ba 1.551 2.566 1.849
Pd -1.657 2.754 0.000
Pd 0.000 0.000 0.000
Pd 3.208 -0.187 0.000
```

Results
DFT formation energy: -5.20 eV per formula unit
uncorrected energy: -0.1659 Ha/atom
calculated density: 7.5 g cm⁻³
SG: Fmmm (69)
total magnetization: 0.00 μB/f.u.



12.
A geometry-optimized BaSnPd structure. Source: Alexandria, functional PBE.

Geometry as extended XYZ:
```
6
Lattice="-1.005 3.190 3.352 -3.761 -1.932 0.710 2.150 -6.450 6.783" Properties=species:S:1:pos:R:3 pbc="T T T"
Sn -0.840 -4.540 9.086
Sn -1.777 -0.652 1.760
Pd -0.632 -2.209 3.585
Pd -1.985 -2.982 7.260
Ba 0.779 -4.129 5.835
Ba -3.396 -1.063 5.010
```

Results
DFT formation energy: -1.13 eV per formula unit
uncorrected energy: -0.1500 Ha/atom
calculated density: 6.3 g cm⁻³
SG: Cmcm (63)
total magnetization: 0.00 μB/f.u.